The following is a DFT calculation (PBE-GGA) of crystalline Li2Sm2Mg5Sc at its relaxed geometry.

a b c (Å): 10.687 10.687 4.254
angles (deg): 90.00 90.00 90.00
Space group P4/mbm (No. 127)
Symmetry-distinct sites (fractional):
Li (0.117, 0.383, 0.000) x4
Sm (0.181, 0.681, 0.000) x4
Mg (0.000, 0.500, 0.500) x2
Mg (0.058, 0.207, 0.500) x8
Sc (0.000, 0.000, 0.000) x2

Properties
Formation enthalpy at 0 K: -0.0273 eV/atom

The following is a DFT calculation (PBE-GGA) of crystalline HfSc2Os2 at its relaxed geometry.

a b c (Å): 7.452 7.452 3.358
angles (deg): 90.00 90.00 90.00
Space group P4/mbm (No. 127)
Symmetry-distinct sites (fractional):
Hf (0.000, 0.000, 0.000) x2
Sc (0.148, 0.352, 0.500) x4
Os (0.152, 0.652, 0.000) x4

Properties
Polymorph energy (0 for the lowest one): 222 meV/atom
Formation enthalpy at 0 K: -0.2346 eV/atom

The following is a DFT calculation (PBE-GGA) of crystalline FeAg2Ir at its relaxed geometry.

a b c (Å): 2.7763 2.7763 27.9657
angles (deg): 90.00 90.00 120.00
Space group R3m (No. 160, hexagonal axes)
Symmetry-distinct sites (fractional):
Fe (0.0000, 0.0000, 0.0000) x3
Ag (0.0000, 0.0000, 0.5063) x3
Ag (0.0000, 0.0000, 0.7491) x3
Ir (0.0000, 0.0000, 0.2615) x3

Properties
Polymorph energy (0 for the lowest one): 0 meV/atom
Formation enthalpy at 0 K: 0.1969 eV/atom

The following is a DFT calculation (PBE-GGA) of crystalline LiAcCdIn at its relaxed geometry.

a b c (Å): 4.8634 4.8634 16.0891
angles (deg): 90.00 90.00 120.00
Space group R3m (No. 160, hexagonal axes)
Symmetry-distinct sites (fractional):
Li (0.0000, 0.0000, 0.0000) x3
Ac (0.0000, 0.0000, 0.7945) x3
Cd (0.0000, 0.0000, 0.5805) x3
In (0.0000, 0.0000, 0.3066) x3

Properties
Formation enthalpy at 0 K: -0.2728 eV/atom

Question: The lowest formation enthalpy at 0 K belongs to which entry?
Answer: LiAcCdIn

Question: Which value of formation enthalpy at 0 K does entry 4 give?
Answer: -0.2728 eV/atom